Entry A
## LiLa2Cu (GGA-PBE)

Data for LiLa2Cu after structural relaxation.

Lattice parameters (Å, degrees): 5.283 5.283 5.283 60.00 60.00 60.00
Atoms (fractional coordinates):
Li  0.000  0.000  0.000
La  0.250  0.250  0.250
La  0.750  0.750  0.750
Cu  0.500  0.500  0.500

***

Entry B
## LiLa2Cu (GGA-PBE)

Data for LiLa2Cu after structural relaxation.

Lattice parameters (Å, degrees): 6.743 6.743 6.743 103.19 103.19 122.92
Atoms (fractional coordinates):
Li  0.000  0.000  0.000
Li  0.750  0.250  0.500
La  0.166  0.625  0.041
La  0.375  0.416  0.541
La  0.584  0.125  0.959
La  0.875  0.834  0.459
Cu  0.250  0.750  0.500
Cu  0.500  0.500  0.000

***

Energies relative to the most stable structure, in meV/atom: entry A 0; entry B 170.

***

Entry A
## LiLaCu (GGA-PBE)

Data for LiLaCu after structural relaxation.

Lattice parameters (Å, degrees): 4.573 4.573 3.704 90.00 90.00 120.00
Atoms (fractional coordinates):
Li  0.000  0.000  0.000
La  0.333  0.667  0.500
Cu  0.667  0.333  0.000

***

Entry B
## LiLaCu (GGA-PBE)

Data for LiLaCu after structural relaxation.

Lattice parameters (Å, degrees): 5.686 5.686 5.686 143.39 143.28 52.82
Atoms (fractional coordinates):
Li  0.000  0.000  0.000
La  0.712  0.712  0.000
Cu  0.389  0.389  0.000

***

Energies relative to the most stable structure, in meV/atom: entry A 0; entry B 20.